[1]
Below is crystalline VPdO2 at its relaxed geometry, with properties calculated at the GGA+U level.

Results
Raw total energy (eV/atom): -6.013
Total magnetization (μB/f.u.): 4.03

Cell lengths 3.3822, 3.3822, 17.5883 Å; angles 90.00, 90.00, 120.00 degrees
With the nearest neighbours (Å) after each atom.
Space group R-3m (No. 166, hexagonal axes)
Asymmetric unit:
V: 0.0000 0.0000 0.0000 [3 per cell]  2 O 1.84
Pd: 0.0000 0.0000 0.5000 [3 per cell]  6 O 2.24
O: 0.0000 0.0000 0.1048 [6 per cell]  1 V 1.84

[2]
Below is crystalline RbMoPbO4 at its relaxed geometry, with properties calculated at the GGA+U level.

Results
Raw total energy (eV/atom): -5.976
Total magnetization (μB/f.u.): 0.00

Cell lengths 6.1064, 6.2393, 8.0516 Å; angles 90.00, 105.59, 90.00 degrees
With the nearest neighbours (Å) after each atom.
Space group P2_1/m (No. 11)
Asymmetric unit:
Rb: 0.2261 0.2500 0.0825 [2 per cell]  6 O 2.94-3.14
Mo: 0.4751 0.2500 0.7098 [2 per cell]  4 O 1.79-1.84
Pb: 0.1131 0.7500 0.5184 [2 per cell]  2 O 2.56-2.84
O: 0.2127 0.7500 0.2292 [2 per cell]  1 Mo 1.84
O: 0.3512 0.2500 0.4795 [2 per cell]  1 Mo 1.80
O: 0.3665 0.0189 0.7938 [4 per cell]  1 Mo 1.79